Here is a relaxed Tb2PrY5Er crystal from Alexandria. Energies are from PBE.

Energy of formation (eV/atom): 0.27
M_tot (μB/cell): 0.00

abc: 8.931 8.931 14.895
angles: 90.00 90.00 90.00
Space group I4/mcm (No. 140)
One atom of each set of equivalent atoms:
1 Tb 0.113 0.387 0.000 [8 per cell]
2 Pr 0.000 0.000 0.250 [4 per cell]
3 Y 0.000 0.000 0.000 [4 per cell]
4 Y 0.206 0.294 0.367 [16 per cell]
5 Er 0.000 0.500 0.250 [4 per cell]

---

Here is a relaxed Ac6Ga2Sn3 crystal from Alexandria. Energies are from PBE.

Energy of formation (eV/atom): -0.27
M_tot (μB/cell): 0.00

abc: 6.144 6.144 22.531
angles: 90.00 90.00 90.00
Space group I4/mmm (No. 139)
One atom of each set of equivalent atoms:
1 Ac 0.000 0.000 0.199 [4 per cell]
2 Ac 0.000 0.500 0.082 [8 per cell]
3 Ga 0.000 0.000 0.056 [4 per cell]
4 Sn 0.000 0.000 0.345 [4 per cell]
5 Sn 0.000 0.000 0.500 [2 per cell]

---

Here is a relaxed Nd2NiH4 crystal from Alexandria. Energies are from PBE.

M_tot (μB/cell): 0.00
Uncorrected energy (eV per atom): -4.495

abc: 3.589 3.589 12.901
angles: 90.00 90.00 90.00
Space group I4/mmm (No. 139)
One atom of each set of equivalent atoms:
1 Nd 0.000 0.000 0.146 [4 per cell]
2 Ni 0.000 0.000 0.500 [2 per cell]
3 H 0.000 0.000 0.357 [4 per cell]
4 H 0.000 0.500 0.000 [4 per cell]